Material: KNaW2
Method: DFT, PBE
State: optimized geometry

For the formation enthalpy at 0 K, the calculation gives 2256 meV/atom. As for the energy above the most stable polymorph in this dataset: 0 meV/atom. Its total energy is -77.19 eV for the cell shown.

abc: 9.0111 9.0111 4.8551
angles: 90.00 90.00 90.00
With the nearest neighbours (Å) after each atom.
Space group I-42d (No. 122)
Unique sites:
1 K 0.0000 0.0000 0.0000  2 Na 2.43
2 Na 0.0000 0.0000 0.5000  2 K 2.43
3 W 0.2190 0.7500 0.6250  2 W 2.49



Material: SnOsCl3
Method: DFT, PBE
State: optimized geometry

The uncorrected formation energy comes out at 0.782 eV per atom. As for the energy above the most stable polymorph in this dataset: 493 meV/atom. Its total energy is -16.86 eV for the cell shown.

abc: 5.4339 5.4339 5.4339
angles: 90.00 90.00 90.00
With the nearest neighbours (Å) after each atom.
Space group Pm-3m (No. 221)
Unique sites:
1 Sn 0.0000 0.0000 0.0000  6 Cl 2.72
2 Os 0.5000 0.5000 0.5000  12 Cl 3.84
3 Cl 0.0000 0.0000 0.5000  2 Sn 2.72